# 1
An optimized crystal structure of SiMoH3. Source: the Alexandria database, functional PBE.

Cell and atoms, written as POSCAR:
```
SiMoH3
1.0
3.345 0.000 0.000
0.000 3.345 0.000
0.000 0.000 3.345
H Mo Si
3 1 1
direct
0.500 0.000 0.000
0.000 0.000 0.500
0.000 0.500 0.000
0.500 0.500 0.500
0.000 0.000 0.000
```

Calculated values
Total energy in eV/atom: -4.4315
Magnetic moment in μB/f.u.: 0.0

---

# 2
An optimized crystal structure of ReTc2C. Source: the Alexandria database, functional PBE.

Cell and atoms, written as POSCAR:
```
ReTc2C
1.0
-3.697 -3.423 1.203
2.694 -3.741 -2.362
1.757 -4.567 3.557
Re Tc C
2 4 2
direct
0.750 0.250 0.500
0.000 0.000 0.000
0.875 0.800 0.750
0.200 0.625 0.250
0.375 0.450 0.750
0.550 0.125 0.250
0.250 0.750 0.500
0.500 0.500 0.000
```

Calculated values
Formation enthalpy at 0 K in eV per atom: 0.828
Total energy in eV/atom: -9.7734
Magnetic moment in μB/f.u.: 0.0

---

# 3
An optimized crystal structure of MgHPd2Pt. Source: the Alexandria database, functional PBE.

Cell and atoms, written as POSCAR:
```
MgHPd2Pt
1.0
-1.008 3.510 1.430
-2.262 -1.744 2.688
3.261 -0.144 2.652
H Pd Mg Pt
1 2 1 1
direct
0.000 0.000 0.000
0.000 0.500 0.000
0.500 0.000 0.000
0.000 0.000 0.500
0.500 0.500 0.500
```

Calculated values
Energy above the lowest structure with this stoichiometry in meV/atom: 62
Total energy in eV/atom: -4.6694
Magnetic moment in μB/f.u.: 0.0

---

# 4
An optimized crystal structure of Li5Zn2Cu. Source: the Alexandria database, functional PBE.

Cell and atoms, written as POSCAR:
```
Li5Zn2Cu
1.0
-3.732 0.671 -0.463
-1.145 -3.384 4.322
0.697 8.711 7.006
Cu Zn Li
2 4 10
direct
0.000 0.500 0.000
0.000 0.000 0.500
0.500 0.728 0.883
0.500 0.772 0.383
0.500 0.228 0.617
0.500 0.272 0.117
0.500 0.756 0.123
0.500 0.256 0.377
0.000 0.000 0.000
0.000 0.479 0.753
0.500 0.744 0.623
0.500 0.244 0.877
0.000 0.500 0.500
0.000 0.521 0.247
0.000 0.979 0.747
0.000 0.021 0.253
```

Calculated values
Formation enthalpy at 0 K in eV per atom: -0.102
Total energy in eV/atom: -2.1283
Magnetic moment in μB/f.u.: 0.0

---

- Number 2 is which compound?
  ReTc2C

---

- total energy of number 3 (MgHPd2Pt)?
  -4.6694 eV/atom

---

- magnetic moment of number 3 (MgHPd2Pt)?
  0.0 μB/f.u.

---

- Look up the magnetic moment of the first one.
  0.0 μB/f.u.